The following is a PBE-GGA calculation of a geometry-optimized Tb2Nd3ThS6 structure, from Alexandria via LeMat-Bulk.

Calculated values
- raw formation energy (meV/atom) = -1983

Structure (POSCAR):
```
Tb2Nd3ThS6
1.0
8.752 -2.006 0.000
8.752 2.006 0.000
-1.857 0.000 7.845
Tb Nd Th S
2 3 1 6
direct
0.166 0.166 0.331
0.834 0.834 0.669
0.164 0.164 0.834
0.500 0.500 0.500
0.836 0.836 0.166
0.500 0.500 0.000
0.004 0.004 0.252
0.330 0.330 0.424
0.332 0.332 0.907
0.668 0.668 0.093
0.670 0.670 0.576
0.996 0.996 0.748
```